A plane-wave DFT calculation with GGA+U was carried out for a geometry-optimized V2ReO8 structure. Values from VASP.

Geometry as Quantum ESPRESSO input:
```
&SYSTEM
  ibrav = 0, nat = 11, ntyp = 3
/
ATOMIC_SPECIES
V 50.94 V.upf
Re 186.21 Re.upf
O 16.00 O.upf
ATOMIC_POSITIONS crystal
V 0.1704 0.1704 0.1356
V 0.8296 0.8296 0.8644
Re 0.0000 0.0000 0.5000
O 0.0946 0.7119 0.6819
O 0.1185 0.1185 0.7894
O 0.2881 0.9054 0.3181
O 0.3168 0.3168 0.1796
O 0.6832 0.6832 0.8204
O 0.7119 0.0946 0.6819
O 0.8815 0.8815 0.2106
O 0.9054 0.2881 0.3181
CELL_PARAMETERS angstrom
5.5347 -3.3331 0.0000
5.5347 3.3331 0.0000
-0.4447 0.0000 5.1046
```

D(E_F) in states/eV/f.u.: 4.24
Total energy in eV per atom: -7.563
M_tot in μB/f.u.: 1.014